VASP calculation (PBE) on a geometry-optimized LiTi2N structure.

- ΔE_f (raw): -1.739 eV per formula unit
- SG: No. 122
- Volume: 105.0 Å³ per cell

The structure in POSCAR format:
```
LiTi2N
1.0
7.5600 0.0000 0.0000
0.0000 7.5600 0.0000
3.7800 3.7800 1.8364
N Li Ti
2 2 4
direct
0.0000 0.0000 0.0000
0.7500 0.2500 0.5000
0.5000 0.5000 0.0000
0.2500 0.7500 0.5000
0.7795 0.1250 0.2500
0.9705 0.6250 0.2500
0.3750 0.2205 0.7500
0.8750 0.0295 0.7500
```

VASP calculation (PBE) on a geometry-optimized LiTi5N6 structure.

- ΔE_f (raw): -19.200 eV per formula unit
- SG: No. 12
- Volume: 113.2 Å³ per cell

The structure in POSCAR format:
```
LiTi5N6
1.0
5.0737 -0.8088 -0.6322
-1.9550 4.7513 -0.6322
-0.3031 -0.3832 5.1464
N Ti Li
6 5 1
direct
0.9148 0.5764 0.7450
0.4236 0.0852 0.2550
0.7465 0.7465 0.2507
0.2535 0.2535 0.7493
0.5764 0.9148 0.7450
0.0852 0.4236 0.2550
0.8385 0.1615 0.5000
0.6663 0.3337 0.0000
0.5000 0.5000 0.5000
0.3337 0.6663 0.0000
0.1615 0.8385 0.5000
0.0000 0.0000 0.0000
```

VASP calculation (PBE) on a geometry-optimized Li3TiN structure.

- ΔE_f (raw): 1.781 eV per formula unit
- SG: No. 221
- Volume: 63.8 Å³ per cell
- Energy relative to the lowest polymorph listed for this composition: 0.00 eV/f.u.

The structure in POSCAR format:
```
Li3TiN
1.0
-3.3720 -1.5123 1.5215
2.1442 -2.4616 2.3054
0.0648 2.7615 2.8883
N Li Ti
1 3 1
direct
0.0000 0.0000 0.0000
0.0000 0.5000 0.0000
0.0000 0.0000 0.5000
0.5000 0.0000 0.0000
0.5000 0.5000 0.5000
```

VASP calculation (PBE) on a geometry-optimized LiTi2N structure.

- ΔE_f (raw): -3.178 eV per formula unit
- SG: No. 160
- Volume: 58.1 Å³ per cell

The structure in POSCAR format:
```
LiTi2N
1.0
3.0139 0.0000 0.0000
1.5069 2.6101 0.0000
1.5069 0.8700 7.3907
Li Ti N
1 2 1
direct
0.5003 0.5003 0.4990
0.0505 0.0505 0.8485
0.2825 0.2825 0.1526
0.6667 0.6667 0.9998
```

VASP calculation (PBE) on a geometry-optimized LiTi2N structure.

- ΔE_f (raw): -2.876 eV per formula unit
- SG: No. 166
- Volume: 60.5 Å³ per cell

The structure in POSCAR format:
```
LiTi2N
1.0
-2.6807 -0.5622 1.1534
-0.2776 -0.5782 2.9019
-1.9835 7.3335 2.7933
N Li Ti
1 1 2
direct
0.5000 0.5000 0.5000
0.0000 0.0000 0.0000
0.1182 0.1182 0.6453
0.8818 0.8818 0.3547
```

VASP calculation (PBE) on a geometry-optimized Li3TiN structure.

- ΔE_f (raw): 9.419 eV per formula unit
- SG: No. 221
- Volume: 142.5 Å³ per cell
- Energy relative to the lowest polymorph listed for this composition: 7.64 eV/f.u.

The structure in POSCAR format:
```
Li3TiN
1.0
5.2236 0.0000 0.0000
0.0000 5.2236 0.0000
0.0000 0.0000 5.2236
N Li Ti
1 3 1
direct
0.5000 0.5000 0.5000
0.0000 0.5000 0.0000
0.0000 0.0000 0.5000
0.5000 0.0000 0.0000
0.0000 0.0000 0.0000
```